Here is a relaxed structure of SrTl2Ag from Alexandria. Energies are from PBE.

Lattice parameters (Å, degrees): 6.1182 6.1182 6.1182 140.77 125.21 69.44
Last column: nearest neighbours and their distance in Å.
Sites, in units of the cell vectors:
Sr 0.0000 0.0000 0.0000  4 Ag 3.48, 8 Tl 3.49-3.58
Tl 0.2808 0.7808 0.5000  2 Ag 3.01
Tl 0.7192 0.2192 0.5000  2 Ag 3.01
Ag 0.5000 0.5000 0.0000  4 Tl 3.01

## Properties
Formation energy, eV per atom: -0.1858
Magnetization, μB per cell: 0.00
Mass density, g cm⁻³: 8.6
SG: Immm
DOS at the Fermi energy, states/eV/cell: 2.0